[1]
The following is a PBEsol calculation of a geometry-optimized LiAuO2 structure, from Alexandria.

* formation energy without anion corrections: -0.8865 eV per atom
* total magnetization: 0.0 μB per cell

Cell lengths 10.7608, 3.9242, 5.3138 Å; angles 90.00, 114.02, 90.00 degrees
Last column: nearest neighbours and their distance in Å.
Space group C2/c (No. 15)
One atom of each set of equivalent atoms:
Li: 0.0000 0.1380 0.2500 [4 per cell]  4 O 1.98-2.00
Au: 0.2500 0.2500 0.0000 [4 per cell]  4 O 1.99-2.00
O: 0.1391 0.0490 0.6325 [8 per cell]  2 Li 1.98-2.00, 2 Au 1.99-2.00


[2]
The following is a PBEsol calculation of a geometry-optimized Li5AuO4 structure, from Alexandria.

* formation energy without anion corrections: -1.5539 eV per atom
* total magnetization: 0.0 μB per cell

Cell lengths 5.8528, 7.3520, 18.8006 Å; angles 90.00, 90.00, 90.00 degrees
Last column: nearest neighbours and their distance in Å.
Space group Fddd (No. 70, origin choice 2)
One atom of each set of equivalent atoms:
Li: 0.1250 0.1250 0.1250 [8 per cell]  4 O 2.03
Li: 0.1250 0.1250 0.2663 [16 per cell]  4 O 1.94-1.95
Li: 0.1250 0.1250 0.4785 [16 per cell]  4 O 1.94-1.99
Au: 0.1250 0.1250 0.6250 [8 per cell]  4 O 2.00
O: 0.1224 0.3727 0.9487 [32 per cell]  5 Li 1.94-2.03, 1 Au 2.00


[3]
The following is a PBEsol calculation of a geometry-optimized LiSbAu2O structure, from Alexandria.

* formation energy without anion corrections: 0.1357 eV per atom
* total magnetization: 0.0 μB per cell

Cell lengths 4.4881, 4.4881, 4.6202 Å; angles 90.00, 90.00, 90.00 degrees
Last column: nearest neighbours and their distance in Å.
Space group P4/mmm (No. 123)
One atom of each set of equivalent atoms:
Li: 0.0000 0.0000 0.0000 [1 per cell]  4 Sb 3.17, 8 Au 3.22
Sb: 0.5000 0.5000 0.0000 [1 per cell]  2 O 2.31
Au: 0.0000 0.5000 0.5000 [2 per cell]  2 O 2.24
O: 0.5000 0.5000 0.5000 [1 per cell]  4 Au 2.24, 2 Sb 2.31


[4]
The following is a PBEsol calculation of a geometry-optimized Li2OsAu structure, from Alexandria.

* calculated formation energy: 175 meV/atom
* total magnetization: 0.0 μB per cell

Cell lengths 2.5717, 4.3535, 5.1949 Å; angles 90.00, 90.00, 90.00 degrees
Last column: nearest neighbours and their distance in Å.
Space group Pmm2 (No. 25)
One atom of each set of equivalent atoms:
Li: 0.0000 0.0000 0.0000 [1 per cell]  6 Li 2.57-2.81, 2 Os 2.57-2.62
Li: 0.5000 0.5000 0.2370 [1 per cell]  2 Au 2.53-2.67, 6 Li 2.57-2.81
Os: 0.0000 0.0000 0.5046 [1 per cell]  2 Os 2.57, 2 Li 2.57-2.62, 4 Au 2.77
Au: 0.5000 0.5000 0.7239 [1 per cell]  2 Li 2.53-2.67, 2 Au 2.57, 4 Os 2.77